1.
{"formula": "V2InRhS", "functional": "PBE", "state": "optimized geometry", "lattice": [[5.0758, 0.0000, 0.0000], [0.0000, 5.0758, 0.0000], [0.0000, 0.0000, 4.8257]], "species": ["V", "V", "In", "Rh", "S"], "frac_coords": [[0.0000, 0.5000, 0.0000], [0.5000, 0.0000, 0.0000], [0.0000, 0.0000, 0.0000], [0.0000, 0.0000, 0.5000], [0.5000, 0.5000, 0.5000]], "e_tot_ev_per_atom": -4.8638, "total_magnetization_mub_per_cell": 6.489, "formation_energy_uncorrected_ev_per_atom": 1.63, "sg": "No. 123"}


2.
{"formula": "YInRh2S", "functional": "PBE", "state": "optimized geometry", "lattice": [[4.8889, 0.0000, 0.0000], [0.0000, 4.8889, 0.0000], [0.0000, 0.0000, 4.9199]], "species": ["Y", "In", "Rh", "Rh", "S"], "frac_coords": [[0.0000, 0.0000, 0.0000], [0.5000, 0.5000, 0.5000], [0.0000, 0.5000, 0.5000], [0.5000, 0.0000, 0.5000], [0.5000, 0.5000, 0.0000]], "e_tot_ev_per_atom": -5.2135, "total_magnetization_mub_per_cell": 0.000, "formation_energy_uncorrected_ev_per_atom": 0.39, "sg": "No. 123"}